A:
The following is a DFT calculation (GGA-PBE) of a geometry-optimized Tb4AlCu3 structure.

Structure (extended XYZ):
```
8
Lattice="3.516 0.000 0.000 0.000 5.008 0.000 0.000 0.000 9.932" Properties=species:S:1:pos:R:3 pbc="T T T"
Cu 1.758 0.000 7.519
Cu 1.758 2.504 4.966
Tb 0.000 2.504 7.374
Tb 0.000 2.504 2.558
Al 1.758 2.504 0.000
Tb 0.000 0.000 4.966
Cu 1.758 0.000 2.413
Tb 0.000 0.000 0.000
```

B:
The following is a DFT calculation (GGA-PBE) of a geometry-optimized Tb4AlCu3 structure.

Structure (extended XYZ):
```
8
Lattice="-0.243 3.187 1.807 -3.569 1.129 -2.471 -6.588 -4.684 7.378" Properties=species:S:1:pos:R:3 pbc="T T T"
Tb -1.018 -0.724 1.141
Tb -4.307 0.451 2.356
Cu -2.859 -2.033 3.202
Tb -7.335 -3.382 4.980
Tb -4.326 -1.395 5.612
Cu -6.250 -2.763 7.766
Al -2.351 1.842 0.166
Cu -5.530 -2.099 2.959
```

Energies relative to the most stable structure, in meV/atom: A 0; B 11.

A:
The following is a DFT calculation (GGA-PBE) of a geometry-optimized TbAl2Cu3 structure.

Structure (extended XYZ):
```
12
Lattice="-3.170 4.233 0.412 -0.853 -3.592 -3.808 -4.781 -4.057 4.897" Properties=species:S:1:pos:R:3 pbc="T T T"
Cu -2.780 1.102 1.430
Tb -2.390 -2.028 2.448
Al -2.398 1.625 -0.995
Al -4.788 -0.404 1.454
Tb 0.000 0.000 0.000
Cu -5.170 -0.926 3.879
Cu -3.206 -0.694 -0.474
Al -1.625 -0.984 -2.402
Cu -4.012 -4.838 1.769
Al -4.016 -3.012 0.047
Cu -1.622 -2.810 -0.680
Cu -5.597 -2.722 1.974
```

B:
The following is a DFT calculation (GGA-PBE) of a geometry-optimized TbAl2Cu3 structure.

Structure (extended XYZ):
```
12
Lattice="-3.754 3.737 -0.581 -4.222 -3.888 2.275 2.001 2.806 5.123" Properties=species:S:1:pos:R:3 pbc="T T T"
Cu -1.526 1.230 5.562
Cu -3.506 -0.899 4.656
Tb -1.656 0.584 2.246
Cu -3.049 -0.094 6.883
Al -2.891 -2.456 2.884
Al -1.208 3.242 4.223
Cu -2.927 2.748 -0.065
Al 0.670 1.374 4.514
Tb -4.319 2.070 4.571
Cu -2.470 3.553 2.162
Cu -4.449 1.424 1.256
Al -4.768 -0.588 2.594
```

Energies relative to the most stable structure, in meV/atom: A 0; B 11.

A:
The following is a DFT calculation (GGA-PBE) of a geometry-optimized TbAlCu3 structure.

Structure (extended XYZ):
```
10
Lattice="-4.176 -0.390 -2.912 1.471 -9.070 -0.895 -0.598 4.130 4.781" Properties=species:S:1:pos:R:3 pbc="T T T"
Cu -0.895 -2.432 -0.629
Cu -2.408 -2.898 1.604
Cu -2.982 -2.627 -2.085
Tb -2.317 -5.095 -0.471
Cu -3.334 1.178 0.148
Al -2.088 -0.195 -1.456
Tb -0.986 -0.236 1.445
Cu 0.032 -6.508 0.827
Al 0.736 -4.535 -0.447
Cu -0.320 -2.703 3.060
```

B:
The following is a DFT calculation (GGA-PBE) of a geometry-optimized TbAlCu3 structure.

Structure (extended XYZ):
```
10
Lattice="4.539 0.000 0.000 0.000 7.316 0.000 0.000 0.000 5.637" Properties=species:S:1:pos:R:3 pbc="T T T"
Cu 2.269 0.000 2.819
Cu 0.000 5.510 1.380
Cu 0.000 5.464 4.198
Al 0.000 0.000 2.819
Cu 0.000 1.852 1.439
Cu 0.000 1.806 4.257
Cu 2.269 3.658 0.000
Al 0.000 3.658 0.000
Tb 2.269 3.658 2.819
Tb 2.269 0.000 0.000
```

Energies relative to the most stable structure, in meV/atom: A 0; B 282.

A:
The following is a DFT calculation (GGA-PBE) of a geometry-optimized TbAl2Cu9 structure.

Structure (extended XYZ):
```
24
Lattice="5.991 0.000 2.758 2.996 7.152 1.379 0.005 0.000 7.876" Properties=species:S:1:pos:R:3 pbc="T T T"
Cu 2.820 6.543 6.576
Cu 6.905 5.934 7.787
Tb 2.996 0.000 1.379
Cu 3.841 2.966 8.301
Al 4.497 5.364 7.975
Cu 3.907 4.794 2.470
Cu 3.176 6.543 4.058
Al 5.992 1.788 4.727
Tb 2.998 3.576 5.317
Cu 2.157 0.610 6.271
Al 5.995 1.788 8.665
Cu 0.000 0.000 0.000
Al 7.490 5.364 5.417
Cu 5.813 4.186 4.018
Cu 2.154 2.966 2.333
Cu 1.426 2.358 7.859
Cu 2.089 4.794 8.164
Cu 4.573 1.218 6.713
Cu 6.173 4.186 9.375
Cu 1.423 1.218 3.921
Cu 3.839 0.610 4.363
Cu 4.570 2.358 2.775
Cu 5.082 5.934 5.606
Cu 5.993 3.576 6.696
```

B:
The following is a DFT calculation (GGA-PBE) of a geometry-optimized TbAl2Cu9 structure.

Structure (extended XYZ):
```
12
Lattice="-2.068 3.871 -2.278 -4.494 -0.430 -2.018 -5.495 3.430 5.448" Properties=species:S:1:pos:R:3 pbc="T T T"
Cu -6.410 2.086 -1.370
Cu -5.646 4.785 2.521
Cu -6.028 3.435 0.576
Al -4.059 2.438 2.460
Tb 0.000 0.000 0.000
Cu -5.175 4.275 -1.502
Cu -4.123 2.305 -0.342
Cu -7.933 4.566 1.494
Al -7.998 4.432 -1.309
Cu -6.881 2.595 2.654
Cu -4.380 2.298 -2.851
Cu -7.676 4.572 4.003
```

Energies relative to the most stable structure, in meV/atom: A 0; B 28.

A:
The following is a DFT calculation (GGA-PBE) of a geometry-optimized AlCu3Tc structure.

Structure (extended XYZ):
```
5
Lattice="4.340 0.000 0.000 0.000 4.340 0.000 0.000 0.000 4.340" Properties=species:S:1:pos:R:3 pbc="T T T"
Cu 0.000 0.000 2.170
Cu 2.170 0.000 0.000
Tc 2.170 2.170 2.170
Cu 0.000 2.170 0.000
Al 0.000 0.000 0.000
```

B:
The following is a DFT calculation (GGA-PBE) of a geometry-optimized AlCu3Tc structure.

Structure (extended XYZ):
```
5
Lattice="-2.537 0.606 3.856 -3.448 -2.505 -1.875 1.830 -3.877 1.814" Properties=species:S:1:pos:R:3 pbc="T T T"
Cu 0.915 -1.939 0.907
Cu -1.269 0.303 1.928
Al -2.077 -2.888 1.898
Tc 0.000 0.000 0.000
Cu -1.724 -1.252 -0.937
```

Energies relative to the most stable structure, in meV/atom: A 0; B 296.

A:
The following is a DFT calculation (GGA-PBE) of a geometry-optimized AlCuTc structure.

Structure (extended XYZ):
```
3
Lattice="-3.897 1.525 0.287 0.620 -3.938 -1.304 -0.152 -0.869 2.552" Properties=species:S:1:pos:R:3 pbc="T T T"
Al -0.025 -0.144 0.422
Tc -0.987 -2.696 0.928
Cu -2.417 -0.442 0.186
```

B:
The following is a DFT calculation (GGA-PBE) of a geometry-optimized AlCuTc structure.

Structure (extended XYZ):
```
6
Lattice="-1.266 2.434 0.480 -2.452 -1.145 -0.658 0.367 -3.494 10.597" Properties=species:S:1:pos:R:3 pbc="T T T"
Al -0.405 -0.774 2.855
Tc -1.337 -2.556 9.424
Cu -2.492 -0.566 4.375
Cu -0.858 -1.639 6.045
Tc -2.013 0.350 0.995
Al -2.945 -1.431 7.564
```

Energies relative to the most stable structure, in meV/atom: A 0; B 74.